Density functional theory data (PBE) for K4U3HgSe8 after structural relaxation.

Cell and atoms, written as extended XYZ:
```
16
Lattice="4.320 2.494 7.581 -4.320 2.494 7.581 0.000 -4.989 7.581" Properties=species:S:1:pos:R:3 pbc="T T T"
K 0.000 0.000 0.000
K -2.160 -1.247 7.581
K -2.160 1.247 15.162
K 0.000 2.494 7.581
U -4.320 0.000 11.372
U -2.160 1.247 3.791
U 2.160 1.247 3.791
Hg 0.000 0.000 11.372
Se -2.286 -1.320 12.910
Se 0.000 0.000 5.356
Se 0.000 -2.640 9.833
Se -2.286 1.320 9.833
Se 2.286 -1.320 12.910
Se 0.000 2.640 12.910
Se 0.000 0.000 17.387
Se 2.286 1.320 9.833
```

Formation energy from raw total energies: -1.11 eV/atom
Symmetry: No. 166

---

Density functional theory data (PBE) for Cd2FeAu2 after structural relaxation.

Cell and atoms, written as extended XYZ:
```
10
Lattice="6.839 0.000 0.000 0.000 6.839 0.000 0.000 0.000 4.204" Properties=species:S:1:pos:R:3 pbc="T T T"
Cd 1.118 2.301 0.000
Cd 2.301 5.721 0.000
Cd 4.538 1.118 0.000
Cd 5.721 4.538 0.000
Fe 0.000 0.000 2.102
Fe 3.419 3.419 2.102
Au 0.996 4.416 2.102
Au 2.423 0.996 2.102
Au 4.416 5.843 2.102
Au 5.843 2.423 2.102
```

Formation enthalpy at 0 K: 0.150 eV per atom
Symmetry: No. 127

---

Density functional theory data (PBE) for KBaCa2 after structural relaxation.

Cell and atoms, written as extended XYZ:
```
4
Lattice="-2.238 3.465 6.871 2.238 -3.465 6.871 2.238 3.465 -6.871" Properties=species:S:1:pos:R:3 pbc="T T T"
K 0.000 0.000 0.000
Ba 2.238 0.000 3.638
Ca 0.000 0.000 7.233
Ca 0.000 3.465 3.501
```

Formation enthalpy at 0 K: 0.137 eV per atom
Symmetry: No. 44
Relative energy among the computed polymorphs: 46 meV/atom

---

Density functional theory data (PBE) for TbPrMg after structural relaxation.

Cell and atoms, written as extended XYZ:
```
6
Lattice="6.065 -1.839 0.000 6.065 1.839 0.000 -3.176 0.000 8.244" Properties=species:S:1:pos:R:3 pbc="T T T"
Tb -0.548 0.000 1.771
Tb 9.502 0.000 6.473
Pr 2.847 0.000 3.410
Pr 6.107 0.000 4.834
Mg 0.870 0.000 7.604
Mg 8.085 0.000 0.640
```

Formation enthalpy at 0 K: -0.017 eV per atom
Symmetry: No. 12
Relative energy among the computed polymorphs: 34 meV/atom

---

Density functional theory data (PBE) for Zn3C after structural relaxation.

Cell and atoms, written as extended XYZ:
```
4
Lattice="-1.854 2.890 4.032 1.854 -2.890 4.032 1.854 2.890 -4.032" Properties=species:S:1:pos:R:3 pbc="T T T"
Zn 0.000 0.000 0.000
Zn 1.854 1.677 1.653
Zn 0.000 1.213 5.685
C 1.854 0.000 0.689
```

Formation enthalpy at 0 K: 0.709 eV per atom
Symmetry: No. 44

---

Density functional theory data (PBE) for Li2BiO2 after structural relaxation.

Cell and atoms, written as extended XYZ:
```
5
Lattice="-1.694 1.779 5.494 1.694 -1.779 5.494 1.694 1.779 -5.494" Properties=species:S:1:pos:R:3 pbc="T T T"
Li 0.000 0.000 2.476
Li 0.000 0.000 8.512
Bi 0.000 0.000 5.494
O 1.694 0.000 3.753
O 0.000 1.779 1.741
```

Formation energy from raw total energies: -1.47 eV/atom
Symmetry: No. 71
Relative energy among the computed polymorphs: 0 meV/atom

---

Density functional theory data (PBE) for GaFeTe after structural relaxation.

Cell and atoms, written as extended XYZ:
```
12
Lattice="2.727 -5.909 0.000 2.727 5.909 0.000 0.000 0.000 6.895" Properties=species:S:1:pos:R:3 pbc="T T T"
Ga 1.364 0.600 1.724
Ga 1.364 -0.600 5.171
Ga 4.091 0.600 1.724
Ga 4.091 -0.600 5.171
Fe 2.727 4.698 3.233
Fe 2.727 1.211 6.680
Fe 2.727 -1.211 0.215
Fe 2.727 -4.698 3.663
Te 2.727 3.805 0.675
Te 2.727 2.104 4.123
Te 2.727 -2.104 2.773
Te 2.727 -3.805 6.220
```

Formation energy from raw total energies: -0.02 eV/atom
Symmetry: No. 64

---

Density functional theory data (PBE) for Cs3AcS3 after structural relaxation.

Cell and atoms, written as extended XYZ:
```
14
Lattice="4.889 -7.626 0.000 4.889 7.626 0.000 -1.331 0.000 8.681" Properties=species:S:1:pos:R:3 pbc="T T T"
Cs 4.889 4.769 0.000
Cs 4.223 3.871 4.341
Cs 3.422 0.000 1.107
Cs 5.024 0.000 7.574
Cs 4.223 -3.871 4.341
Cs 4.889 -4.769 0.000
Ac 1.046 0.000 5.515
Ac 7.401 0.000 3.166
S 0.441 0.000 2.653
S 2.169 2.257 6.693
S 2.169 -2.257 6.693
S 6.278 2.257 1.989
S 6.278 -2.257 1.989
S 8.005 0.000 6.029
```

Formation energy from raw total energies: -1.40 eV/atom
Symmetry: No. 12

---

Density functional theory data (PBE) for SrSbTe2Os after structural relaxation.

Cell and atoms, written as extended XYZ:
```
5
Lattice="5.605 0.000 0.000 0.000 5.605 0.000 0.000 0.000 4.964" Properties=species:S:1:pos:R:3 pbc="T T T"
Sr 0.000 0.000 0.000
Sb 2.802 2.802 0.000
Te 0.000 2.802 2.482
Te 2.802 0.000 2.482
Os 2.802 2.802 2.482
```

Formation energy from raw total energies: -0.01 eV/atom
Symmetry: No. 123
Relative energy among the computed polymorphs: 0 meV/atom

---

Density functional theory data (PBE) for TaV6Ru after structural relaxation.

Cell and atoms, written as extended XYZ:
```
8
Lattice="4.456 2.572 1.689 -4.456 2.572 1.689 0.000 -5.145 1.689" Properties=species:S:1:pos:R:3 pbc="T T T"
Ta 0.000 0.000 0.000
V 0.000 -2.537 2.104
V -2.197 1.269 2.104
V -2.197 -1.269 2.964
V 2.197 1.269 2.104
V 2.197 -1.269 2.964
V 0.000 2.537 2.964
Ru 0.000 0.000 2.534
```

Formation enthalpy at 0 K: 0.093 eV per atom
Symmetry: No. 166

---

Density functional theory data (PBE) for YHg after structural relaxation.

Cell and atoms, written as extended XYZ:
```
4
Lattice="4.022 0.000 0.000 0.000 4.022 0.000 0.000 0.000 6.677" Properties=species:S:1:pos:R:3 pbc="T T T"
Y 1.005 1.005 1.065
Y 3.016 3.016 5.612
Hg 1.005 1.005 4.270
Hg 3.016 3.016 2.407
```

Formation enthalpy at 0 K: -0.348 eV per atom
Symmetry: No. 129

---

Looking at D(E_F) for the records above, in order, we have 16.52 4.07 5.14 3.79 0.26 0.38 0.96 0.00 5.46 9.49 1.94 states/eV/f.u..